(1)
SmHfRhAu: relaxed, GGA-PBE.

Structure (extended XYZ):
```
16
Lattice="6.9199 0.0000 0.0000 0.0000 6.9199 0.0000 0.0000 0.0000 6.9199" Properties=species:S:1:pos:R:3 pbc="T T T"
Sm 0.0000 0.0000 0.0000
Sm 0.0000 3.4599 3.4599
Sm 3.4599 0.0000 3.4599
Sm 3.4599 3.4599 0.0000
Hf 0.0000 0.0000 3.4599
Hf 0.0000 3.4599 0.0000
Hf 3.4599 0.0000 0.0000
Hf 3.4599 3.4599 3.4599
Rh 1.7300 1.7300 5.1899
Rh 1.7300 5.1899 1.7300
Rh 5.1899 1.7300 1.7300
Rh 5.1899 5.1899 5.1899
Au 1.7300 1.7300 1.7300
Au 1.7300 5.1899 5.1899
Au 5.1899 1.7300 5.1899
Au 5.1899 5.1899 1.7300
```

Raw total energy = -110.25 eV/cell
Magnetization = 0.000 μB/f.u.


(2)
SmAgSnPt: relaxed, GGA-PBE.

Structure (extended XYZ):
```
16
Lattice="6.9700 0.0000 0.0000 0.0000 6.9700 0.0000 0.0000 0.0000 6.9700" Properties=species:S:1:pos:R:3 pbc="T T T"
Sm 0.0000 0.0000 0.0000
Sm 0.0000 3.4850 3.4850
Sm 3.4850 0.0000 3.4850
Sm 3.4850 3.4850 0.0000
Ag 1.7425 1.7425 1.7425
Ag 1.7425 5.2275 5.2275
Ag 5.2275 1.7425 5.2275
Ag 5.2275 5.2275 1.7425
Sn 0.0000 0.0000 3.4850
Sn 0.0000 3.4850 0.0000
Sn 3.4850 0.0000 0.0000
Sn 3.4850 3.4850 3.4850
Pt 1.7425 1.7425 5.2275
Pt 1.7425 5.2275 1.7425
Pt 5.2275 1.7425 1.7425
Pt 5.2275 5.2275 5.2275
```

Raw total energy = -80.85 eV/cell
Magnetization = 0.000 μB/f.u.


(3)
NbPdSI: relaxed, GGA-PBE.

Structure (extended XYZ):
```
8
Lattice="5.9501 0.0000 0.0000 0.0000 3.4376 0.0000 -2.0071 0.0000 8.0744" Properties=species:S:1:pos:R:3 pbc="T T T"
Nb 0.0000 0.0000 0.0000
Nb 2.9750 1.7188 0.0000
Pd -1.0188 1.7188 4.2187
Pd 1.9562 0.0000 4.2187
S -1.0170 1.7188 6.5680
S 1.9580 0.0000 6.5680
I 0.9926 1.7188 2.0627
I 3.9677 0.0000 2.0627
```

Formation energy without anion corrections = -27 kJ/mol of atoms
Polymorph energy (0 for the lowest one) = 0.059 eV per atom
Raw total energy = -44.10 eV/cell
Magnetization = 0.000 μB/f.u.